Crystalline LiGaIrPd at its relaxed geometry. Source: Alexandria via LeMat-Bulk, functional GGA-PBE.

Output
Symmetry = F-43m
Calculated total energy = -21.080 eV/cell
Magnetization = 0.0 Bohr magnetons per cell

Cell: 4.242 4.242 4.242 Å, 60.00 60.00 60.00°
Positions (direct):
Ga (0.250, 0.250, 0.250)
Pd (0.000, 0.000, 0.000)
Li (0.750, 0.750, 0.750)
Ir (0.500, 0.500, 0.500)

---

Crystalline ThGe3Os3 at its relaxed geometry. Source: Alexandria via LeMat-Bulk, functional GGA-PBE.

Output
Energy relative to the lowest polymorph listed for this composition = 0 meV per atom
Symmetry = R-3
Calculated total energy = -110.383 eV/cell
Magnetization = 0.0 Bohr magnetons per cell

Cell: 6.947 6.947 8.007 Å, 64.29 64.29 60.00°
Positions (direct):
Th (0.327, 0.327, 0.020)
Th (0.673, 0.673, 0.980)
Os (0.539, 0.325, 0.338)
Os (0.798, 0.539, 0.338)
Os (0.202, 0.461, 0.662)
Os (0.325, 0.798, 0.338)
Os (0.675, 0.202, 0.662)
Os (0.461, 0.675, 0.662)
Ge (0.955, 0.130, 0.319)
Ge (0.045, 0.870, 0.681)
Ge (0.130, 0.597, 0.319)
Ge (0.597, 0.955, 0.319)
Ge (0.870, 0.403, 0.681)
Ge (0.403, 0.045, 0.681)

---

Crystalline Pr2Zn3Ni12Au at its relaxed geometry. Source: Alexandria via LeMat-Bulk, functional GGA-PBE.

Output
Symmetry = R-3m
Calculated total energy = -84.086 eV/cell
Magnetization = 0.0 Bohr magnetons per cell

Cell: 9.483 9.483 9.483 Å, 37.49 37.49 37.49°
Positions (direct):
Ni (0.583, 0.200, 0.583)
Ni (0.583, 0.583, 0.200)
Ni (0.542, 0.128, 0.128)
Ni (0.417, 0.417, 0.800)
Ni (0.200, 0.583, 0.583)
Ni (0.872, 0.872, 0.458)
Ni (0.800, 0.417, 0.417)
Ni (0.417, 0.800, 0.417)
Ni (0.128, 0.542, 0.128)
Ni (0.872, 0.458, 0.872)
Ni (0.128, 0.128, 0.542)
Ni (0.458, 0.872, 0.872)
Pr (0.639, 0.639, 0.639)
Pr (0.361, 0.361, 0.361)
Zn (0.000, 0.000, 0.500)
Zn (0.500, 0.000, 0.000)
Zn (0.000, 0.500, 0.000)
Au (0.000, 0.000, 0.000)